Bi2P4O13, relaxed, DFT GGA-PBEsol; raw total energy = -7.28 eV per atom; formation energy (no corrections) = -2.019 eV/atom; calculated density = 4.75 Mg/m³; M_tot = 0.0 μB/f.u.
1.0
5.996 -3.447 0.000
5.996 3.447 0.000
-3.733 0.000 12.679
Bi P O
4 8 26
direct
0.193 0.195 0.055 Bi
0.195 0.193 0.555 Bi
0.805 0.807 0.445 Bi
0.807 0.805 0.945 Bi
0.260 0.275 0.340 P
0.275 0.260 0.840 P
0.342 0.637 0.136 P
0.363 0.658 0.364 P
0.637 0.342 0.636 P
0.658 0.363 0.864 P
0.725 0.740 0.160 P
0.740 0.725 0.660 P
0.063 0.425 0.404 O
0.078 0.422 0.902 O
0.186 0.810 0.064 O
0.190 0.814 0.436 O
0.191 0.203 0.226 O
0.203 0.191 0.726 O
0.261 0.739 0.250 O
0.380 0.397 0.105 O
0.397 0.380 0.605 O
0.397 0.407 0.343 O
0.407 0.397 0.843 O
0.422 0.078 0.402 O
0.425 0.063 0.904 O
0.575 0.937 0.096 O
0.578 0.922 0.598 O
0.593 0.603 0.157 O
0.603 0.593 0.657 O
0.603 0.620 0.395 O
0.620 0.603 0.895 O
0.739 0.261 0.750 O
0.797 0.809 0.274 O
0.809 0.797 0.774 O
0.810 0.186 0.564 O
0.814 0.190 0.936 O
0.922 0.578 0.098 O
0.937 0.575 0.596 O

***

Sr3B2N4, relaxed, DFT GGA-PBEsol; raw total energy = -7.13 eV per atom; formation energy (no corrections) = -1.163 eV/atom; calculated density = 3.87 Mg/m³; M_tot = 0.0 μB/f.u.
1.0
7.594 0.000 0.000
0.000 7.594 0.000
0.000 0.000 7.594
Sr B N
9 6 12
direct
0.000 0.000 0.000 Sr
0.263 0.263 0.263 Sr
0.263 0.263 0.737 Sr
0.263 0.737 0.263 Sr
0.263 0.737 0.737 Sr
0.737 0.263 0.263 Sr
0.737 0.263 0.737 Sr
0.737 0.737 0.263 Sr
0.737 0.737 0.737 Sr
0.000 0.000 0.500 B
0.000 0.500 0.000 B
0.000 0.500 0.500 B
0.500 0.000 0.000 B
0.500 0.000 0.500 B
0.500 0.500 0.000 B
0.000 0.000 0.323 N
0.000 0.000 0.677 N
0.000 0.323 0.000 N
0.000 0.677 0.000 N
0.177 0.500 0.500 N
0.323 0.000 0.000 N
0.500 0.177 0.500 N
0.500 0.500 0.177 N
0.500 0.500 0.823 N
0.500 0.823 0.500 N
0.677 0.000 0.000 N
0.823 0.500 0.500 N

***

Zr2PW, relaxed, DFT GGA-PBEsol; raw total energy = -9.62 eV per atom; E_form = -0.18 eV per atom; calculated density = 9.48 Mg/m³; M_tot = 0.0 μB/f.u.
1.0
-1.922 1.922 4.711
1.922 -1.922 4.711
1.922 1.922 -4.711
Zr P W
2 1 1
direct
0.000 0.000 0.000 Zr
0.750 0.250 0.500 Zr
0.500 0.500 0.000 P
0.250 0.750 0.500 W

***

Ca2InGaW, relaxed, DFT GGA-PBEsol; raw total energy = -3.73 eV per atom; E_form = 1.15 eV per atom; calculated density = 4.52 Mg/m³; M_tot = 2.7 μB/f.u.
1.0
5.691 0.000 0.000
0.000 5.691 0.000
0.000 0.000 5.090
Ca In Ga W
2 1 1 1
direct
0.000 0.500 0.000 Ca
0.500 0.000 0.000 Ca
0.000 0.000 0.000 In
0.500 0.500 0.500 Ga
0.000 0.000 0.500 W

***

Tc2Ag3, relaxed, DFT GGA-PBEsol; raw total energy = -6.05 eV per atom; E_form = 0.44 eV per atom; calculated density = 11.29 Mg/m³; M_tot = 0.0 μB/f.u.
1.0
1.360 0.785 11.931
-1.360 0.785 11.931
0.000 -1.570 11.931
Tc Ag
2 3
direct
0.100 0.100 0.100 Tc
0.900 0.900 0.900 Tc
0.299 0.299 0.299 Ag
0.500 0.500 0.500 Ag
0.701 0.701 0.701 Ag

***

Cr2ReTc, relaxed, DFT GGA-PBEsol; raw total energy = -11.15 eV per atom; E_form = 0.12 eV per atom; calculated density = 12.47 Mg/m³; M_tot = 0.0 μB/f.u.
1.0
0.000 2.957 2.957
2.957 0.000 2.957
2.957 2.957 0.000
Cr Re Tc
2 1 1
direct
0.000 0.000 0.000 Cr
0.250 0.250 0.250 Cr
0.500 0.500 0.500 Re
0.750 0.750 0.750 Tc

***

PrInAu, relaxed, DFT GGA-PBEsol; raw total energy = -4.79 eV per atom; E_form = -0.76 eV per atom; calculated density = 10.51 Mg/m³; M_tot = 0.0 μB/f.u.
1.0
7.729 0.000 0.000
-3.864 6.693 0.000
0.000 0.000 4.148
Pr In Au
3 3 3
direct
0.000 0.411 0.000 Pr
0.411 0.000 0.000 Pr
0.589 0.589 0.000 Pr
0.000 0.748 0.500 In
0.252 0.252 0.500 In
0.748 0.000 0.500 In
0.000 0.000 0.000 Au
0.333 0.667 0.500 Au
0.667 0.333 0.500 Au

***

TcOs2Au, relaxed, DFT GGA-PBEsol; raw total energy = -9.30 eV per atom; ΔE to the lowest computed polymorph = 274 meV per atom; E_form = 0.61 eV per atom; calculated density = 18.65 Mg/m³; M_tot = 0.0 μB/f.u.
1.0
1.384 -2.294 0.000
1.384 2.294 0.000
0.000 0.000 9.478
Tc Os Au
1 2 1
direct
0.000 0.000 0.000 Tc
0.000 0.000 0.527 Os
0.500 0.500 0.767 Os
0.500 0.500 0.263 Au

***

Li24Ti11CrO36, relaxed, DFT GGA-PBEsol; raw total energy = -7.31 eV per atom; formation energy (no corrections) = -2.621 eV/atom; calculated density = 3.51 Mg/m³; M_tot = 2.0 μB/f.u.
1.0
5.036 0.000 0.000
-0.897 10.455 0.000
-1.621 -5.030 11.862
Li Ti Cr O
24 11 1 36
direct
0.000 0.000 0.000 Li
0.000 0.000 0.500 Li
0.001 0.500 0.250 Li
0.114 0.727 0.478 Li
0.124 0.727 0.978 Li
0.218 0.940 0.190 Li
0.224 0.940 0.692 Li
0.331 0.164 0.916 Li
0.332 0.167 0.417 Li
0.334 0.667 0.167 Li
0.334 0.669 0.669 Li
0.446 0.394 0.644 Li
0.449 0.393 0.144 Li
0.551 0.609 0.857 Li
0.554 0.607 0.357 Li
0.666 0.334 0.834 Li
0.667 0.333 0.333 Li
0.668 0.833 0.082 Li
0.668 0.834 0.583 Li
0.771 0.062 0.811 Li
0.779 0.060 0.310 Li
0.886 0.274 0.524 Li
0.889 0.274 0.023 Li
0.998 0.499 0.750 Li
0.110 0.221 0.722 Ti
0.111 0.221 0.221 Ti
0.223 0.446 0.446 Ti
0.224 0.445 0.945 Ti
0.443 0.888 0.388 Ti
0.555 0.110 0.110 Ti
0.555 0.112 0.612 Ti
0.778 0.556 0.557 Ti
0.779 0.556 0.055 Ti
0.889 0.779 0.279 Ti
0.891 0.781 0.781 Ti
0.445 0.889 0.889 Cr
0.021 0.256 0.372 O
0.021 0.256 0.873 O
0.097 0.473 0.087 O
0.097 0.473 0.588 O
0.119 0.958 0.344 O
0.127 0.959 0.847 O
0.214 0.709 0.323 O
0.219 0.712 0.825 O
0.236 0.194 0.580 O
0.237 0.194 0.080 O
0.312 0.411 0.295 O
0.312 0.411 0.795 O
0.354 0.921 0.036 O
0.355 0.923 0.539 O
0.429 0.138 0.252 O
0.429 0.139 0.754 O
0.453 0.625 0.011 O
0.453 0.626 0.512 O
0.548 0.376 0.491 O
0.549 0.376 0.990 O
0.569 0.863 0.750 O
0.570 0.861 0.247 O
0.644 0.075 0.959 O
0.645 0.078 0.462 O
0.689 0.589 0.206 O
0.691 0.590 0.707 O
0.757 0.809 0.921 O
0.763 0.806 0.420 O
0.785 0.292 0.678 O
0.786 0.290 0.176 O
0.880 0.042 0.657 O
0.881 0.041 0.156 O
0.904 0.528 0.414 O
0.906 0.529 0.914 O
0.977 0.746 0.630 O
0.980 0.745 0.128 O

***

Sc2ZnO, relaxed, DFT GGA-PBEsol; raw total energy = -5.54 eV per atom; formation energy (no corrections) = -0.526 eV/atom; calculated density = 4.61 Mg/m³; M_tot = 0.0 μB/f.u.
1.0
0.000 3.136 3.136
3.136 0.000 3.136
3.136 3.136 0.000
Sc Zn O
2 1 1
direct
0.250 0.250 0.250 Sc
0.750 0.750 0.750 Sc
0.000 0.000 0.000 Zn
0.500 0.500 0.500 O

***

CoOsAu2, relaxed, DFT GGA-PBEsol; raw total energy = -6.41 eV per atom; ΔE to the lowest computed polymorph = 296 meV per atom; E_form = 0.54 eV per atom; calculated density = 18.33 Mg/m³; M_tot = 1.8 μB/f.u.
1.0
2.708 0.000 0.000
0.000 2.708 0.000
0.000 0.000 7.941
Co Os Au
1 1 2
direct
0.000 0.000 0.000 Co
0.000 0.000 0.500 Os
0.500 0.500 0.237 Au
0.500 0.500 0.763 Au

***

TiPt3, relaxed, DFT GGA-PBEsol; raw total energy = -8.18 eV per atom; E_form = -0.88 eV per atom; calculated density = 17.77 Mg/m³; M_tot = 0.0 μB/f.u.
1.0
5.511 0.000 0.000
-2.755 4.772 0.000
0.000 0.000 15.745
Ti Pt
7 21
direct
0.000 0.000 0.000 Ti
0.000 0.000 0.281 Ti
0.000 0.000 0.719 Ti
0.333 0.667 0.144 Ti
0.333 0.667 0.570 Ti
0.667 0.333 0.430 Ti
0.667 0.333 0.856 Ti
0.000 0.500 0.000 Pt
0.001 0.500 0.287 Pt
0.167 0.334 0.429 Pt
0.167 0.334 0.857 Pt
0.167 0.833 0.429 Pt
0.167 0.833 0.857 Pt
0.334 0.167 0.143 Pt
0.334 0.167 0.571 Pt
0.500 0.000 0.000 Pt
0.500 0.001 0.713 Pt
0.500 0.500 0.000 Pt
0.500 0.500 0.287 Pt
0.500 0.500 0.713 Pt
0.500 0.999 0.287 Pt
0.666 0.833 0.429 Pt
0.666 0.833 0.857 Pt
0.833 0.167 0.143 Pt
0.833 0.167 0.571 Pt
0.833 0.666 0.143 Pt
0.833 0.666 0.571 Pt
0.999 0.500 0.713 Pt